[1]
DFT (meta-GGA SCAN) results for a PBEsol-optimized structure of TlNi2MoS.

ΔE_f (raw)   0.708 eV/atom

a = 4.618 Å, b = 4.618 Å, c = 4.489 Å
α = 90.00°, β = 90.00°, γ = 90.00°
Space group P4/mmm (No. 123)
Symmetry-distinct sites (fractional):
Tl1 0.000 0.000 0.000 [1 per cell]
Ni1 0.000 0.500 0.500 [2 per cell]
Mo1 0.500 0.500 0.500 [1 per cell]
S1 0.500 0.500 0.000 [1 per cell]

***

[2]
DFT (meta-GGA SCAN) results for a PBEsol-optimized structure of Cr4Re11.

ΔE_f   0.59 kcal/mol of atoms

a = 9.434 Å, b = 9.434 Å, c = 4.747 Å
α = 90.00°, β = 90.00°, γ = 90.00°
Space group P4_2/mnm (No. 136)
Symmetry-distinct sites (fractional):
Cr1 0.183 0.183 0.244 [8 per cell]
Re1 0.000 0.000 0.500 [2 per cell]
Re2 0.037 0.635 0.000 [8 per cell]
Re3 0.066 0.738 0.500 [8 per cell]
Re4 0.099 0.901 0.000 [4 per cell]

***

It is found that the final energy values, taken in the order of the records, are -29.14; -57.02 eV/atom.